VASP calculation (PBE-GGA) on a relaxed structure of KGePO5.

The structure in POSCAR format:
```
KGePO5
1.0
-0.5375 -3.9087 5.0397
10.0551 0.4767 1.4422
-1.5841 10.1375 7.6935
O P Ge K
40 8 8 8
direct
0.5328 0.6348 0.7250
0.4672 0.1348 0.2750
0.4537 0.3775 0.7312
0.3131 0.5332 0.1087
0.5463 0.8775 0.2688
0.5406 0.6218 0.2536
0.0406 0.1218 0.2464
0.6904 0.7268 0.9023
0.8049 0.4717 0.6097
0.3096 0.2268 0.0977
0.6951 0.4717 0.1097
0.4613 0.3879 0.2559
0.9672 0.6348 0.2250
0.9594 0.6218 0.7536
0.3053 0.2757 0.9053
0.0328 0.1348 0.7750
0.9537 0.8775 0.7688
0.9841 0.6325 0.0153
0.8053 0.7757 0.5947
0.0242 0.3746 0.0183
0.6869 0.0332 0.8913
0.9758 0.8746 0.9817
0.3049 0.9717 0.8903
0.1869 0.5332 0.6087
0.8096 0.7268 0.4023
0.0463 0.3775 0.2312
0.9613 0.8879 0.2441
0.4758 0.3746 0.5183
0.4594 0.1218 0.7464
0.1904 0.2268 0.5977
0.5159 0.6325 0.5153
0.6947 0.7757 0.0947
0.8131 0.0332 0.3913
0.0387 0.3879 0.7559
0.4841 0.1325 0.4847
0.5242 0.8746 0.4817
0.1947 0.2757 0.4053
0.0159 0.1325 0.9847
0.5387 0.8879 0.7441
0.1951 0.9717 0.3903
0.8341 0.7510 0.9978
0.9963 0.5030 0.6791
0.0037 0.0030 0.3209
0.1659 0.2510 0.0022
0.6659 0.7510 0.4978
0.4963 0.0030 0.8209
0.3341 0.2510 0.5022
0.5037 0.5030 0.1791
0.7460 0.7521 0.7515
0.5028 0.5010 0.6304
0.2540 0.2521 0.2485
0.2460 0.2521 0.7485
0.0028 0.0010 0.8696
0.9972 0.5010 0.1304
0.7540 0.7521 0.2515
0.4972 0.0010 0.3696
0.3087 0.5690 0.8917
0.2203 0.8154 0.6188
0.6913 0.0690 0.1083
0.7203 0.3154 0.8812
0.1913 0.5690 0.3917
0.7797 0.3154 0.3812
0.2797 0.8154 0.1188
0.8087 0.0690 0.6083
```

Summary:
formation energy (no corrections) = -46.94 kcal/mol of atoms
VASP energy = -6.525 eV per atom

=====

VASP calculation (PBE-GGA) on a relaxed structure of KGeP2O.

The structure in POSCAR format:
```
KGeP2O
1.0
-1.4122 5.0402 0.2442
-2.3147 -0.4217 -4.6820
-3.1317 -0.9566 1.6344
P K O Ge
2 1 1 1
direct
0.0000 0.5000 0.0000
0.5000 0.0000 0.0000
0.5000 0.5000 0.5000
0.0000 0.0000 0.5000
0.0000 0.0000 0.0000
```

Summary:
formation energy (no corrections) = 4.15 kcal/mol of atoms
distance to the lowest polymorph of the same formula = 0.000 eV/atom
VASP energy = -4.119 eV per atom

=====

VASP calculation (PBE-GGA) on a relaxed structure of KGeP2O.

The structure in POSCAR format:
```
KGeP2O
1.0
-4.6171 -2.3990 -1.2008
1.2803 0.1299 -5.1825
1.8353 -3.7125 0.3603
P K Ge O
2 1 1 1
direct
0.5000 0.0000 0.0000
0.0000 0.5000 0.0000
0.0000 0.0000 0.0000
0.5000 0.5000 0.5000
0.0000 0.0000 0.5000
```

Summary:
formation energy (no corrections) = 36.70 kcal/mol of atoms
distance to the lowest polymorph of the same formula = 1.412 eV/atom
VASP energy = -2.707 eV per atom

=====

Copy entry 2 word for word.
VASP calculation (PBE-GGA) on a relaxed structure of KGeP2O.

The structure in POSCAR format:
```
KGeP2O
1.0
-1.4122 5.0402 0.2442
-2.3147 -0.4217 -4.6820
-3.1317 -0.9566 1.6344
P K O Ge
2 1 1 1
direct
0.0000 0.5000 0.0000
0.5000 0.0000 0.0000
0.5000 0.5000 0.5000
0.0000 0.0000 0.5000
0.0000 0.0000 0.0000
```

Summary:
formation energy (no corrections) = 4.15 kcal/mol of atoms
distance to the lowest polymorph of the same formula = 0.000 eV/atom
VASP energy = -4.119 eV per atom